Entry from Alexandria via LeMat-Bulk: a relaxed K3RbFe crystal (PBE).

Geometry as POSCAR:
```
K3RbFe
1.0
7.611 0.000 0.000
0.000 7.611 0.000
0.000 0.000 7.611
K Rb Fe
3 1 1
Direct
0.000 0.000 0.500
0.000 0.500 0.000
0.500 0.000 0.000
0.000 0.000 0.000
0.500 0.500 0.500
```

Results
energy relative to the elements: 5.66 eV per formula unit
distance to the lowest polymorph of the same formula: 458 meV/atom
energy: -1.413 eV per atom